Record 1
A relaxed structure of ZnHgN2O, computed with PBE-GGA. Values from VASP.

- space group = P4/mmm (123)
- DOS(E_F) (states/eV/atom) = 0.393

Geometry as Quantum ESPRESSO input:
```
&SYSTEM
  ibrav = 0, nat = 5, ntyp = 4
/
ATOMIC_SPECIES
Zn 65.41 Zn.upf
N 14.01 N.upf
Hg 200.59 Hg.upf
O 16.00 O.upf
CELL_PARAMETERS angstrom
4.262 0.000 0.000
0.000 4.262 0.000
0.000 0.000 4.327
ATOMIC_POSITIONS crystal
Zn 0.500 0.500 0.500
N 0.500 0.000 0.000
Hg 0.000 0.000 0.000
O 0.000 0.000 0.500
N 0.000 0.500 0.000
```

***

Record 2
A relaxed structure of ZnHgN2O, computed with PBE-GGA. Values from VASP.

- space group = P4/mmm (123)
- DOS(E_F) (states/eV/atom) = 0.388

Geometry as Quantum ESPRESSO input:
```
&SYSTEM
  ibrav = 0, nat = 5, ntyp = 4
/
ATOMIC_SPECIES
N 14.01 N.upf
Hg 200.59 Hg.upf
Zn 65.41 Zn.upf
O 16.00 O.upf
CELL_PARAMETERS angstrom
-1.646 -1.171 3.464
0.160 -3.818 -1.215
3.660 -0.361 1.618
ATOMIC_POSITIONS crystal
N 0.500 0.000 0.000
Hg 0.500 0.500 0.500
N 0.000 0.500 0.000
Zn 0.000 0.000 0.000
O 0.000 0.000 0.500
```

***

Record 3
A relaxed structure of ZnHgNO2, computed with PBE-GGA. Values from VASP.

- space group = P4/mmm (123)
- DOS(E_F) (states/eV/atom) = 0.449

Geometry as Quantum ESPRESSO input:
```
&SYSTEM
  ibrav = 0, nat = 5, ntyp = 4
/
ATOMIC_SPECIES
O 16.00 O.upf
Zn 65.41 Zn.upf
Hg 200.59 Hg.upf
N 14.01 N.upf
CELL_PARAMETERS angstrom
4.040 0.000 0.000
0.000 4.040 0.000
0.000 0.000 3.864
ATOMIC_POSITIONS crystal
O 0.500 0.000 0.000
Zn 0.000 0.000 0.000
Hg 0.500 0.500 0.500
N 0.000 0.000 0.500
O 0.000 0.500 0.000
```

***

Record 4
A relaxed structure of Zr2HgNO, computed with PBE-GGA. Values from VASP.

- space group = P4/mmm (123)
- DOS(E_F) (states/eV/atom) = 0.688

Geometry as Quantum ESPRESSO input:
```
&SYSTEM
  ibrav = 0, nat = 5, ntyp = 4
/
ATOMIC_SPECIES
Hg 200.59 Hg.upf
O 16.00 O.upf
Zr 91.22 Zr.upf
N 14.01 N.upf
CELL_PARAMETERS angstrom
-3.990 2.342 2.506
-0.084 -3.028 2.697
3.428 2.602 3.027
ATOMIC_POSITIONS crystal
Hg 0.000 0.000 0.000
O 0.000 0.500 0.000
Zr 0.500 0.000 0.000
Zr 0.000 0.000 0.500
N 0.500 0.500 0.500
```

***

Record 5
A relaxed structure of HgOs2N2, computed with PBE-GGA. Values from VASP.

- space group = I4/mmm (139)
- DOS(E_F) (states/eV/atom) = 0.670
- distance to the lowest polymorph of the same formula (eV/atom) = 0.000

Geometry as Quantum ESPRESSO input:
```
&SYSTEM
  ibrav = 0, nat = 5, ntyp = 3
/
ATOMIC_SPECIES
Os 190.23 Os.upf
Hg 200.59 Hg.upf
N 14.01 N.upf
CELL_PARAMETERS angstrom
3.835 0.000 0.000
0.000 3.835 0.000
1.917 1.917 5.015
ATOMIC_POSITIONS crystal
Os 0.750 0.250 0.500
Hg 0.000 0.000 0.000
Os 0.250 0.750 0.500
N 0.333 0.333 0.334
N 0.667 0.667 0.666
```

***

Record 6
A relaxed structure of HgOsN2, computed with PBE-GGA. Values from VASP.

- space group = R-3m (166)
- DOS(E_F) (states/eV/atom) = 0.806

Geometry as Quantum ESPRESSO input:
```
&SYSTEM
  ibrav = 0, nat = 4, ntyp = 3
/
ATOMIC_SPECIES
Hg 200.59 Hg.upf
N 14.01 N.upf
Os 190.23 Os.upf
CELL_PARAMETERS angstrom
0.547 -5.383 4.405
0.113 -6.762 1.716
2.905 -5.822 2.518
ATOMIC_POSITIONS crystal
Hg 0.000 0.000 0.000
N 0.113 0.113 0.113
Os 0.500 0.500 0.500
N 0.887 0.887 0.887
```

***

Record 7
A relaxed structure of HgOs2N2, computed with PBE-GGA. Values from VASP.

- space group = P4/mbm (127)
- DOS(E_F) (states/eV/atom) = 0.365
- distance to the lowest polymorph of the same formula (eV/atom) = 0.485

Geometry as Quantum ESPRESSO input:
```
&SYSTEM
  ibrav = 0, nat = 10, ntyp = 3
/
ATOMIC_SPECIES
Os 190.23 Os.upf
Hg 200.59 Hg.upf
N 14.01 N.upf
CELL_PARAMETERS angstrom
-1.091 -6.004 -3.777
6.965 -0.186 -1.716
0.499 -1.465 2.185
ATOMIC_POSITIONS crystal
Os 0.377 0.123 0.500
Hg 0.000 0.000 0.000
Os 0.123 0.623 0.500
Hg 0.500 0.500 0.000
Os 0.877 0.377 0.500
N 0.385 0.885 0.000
N 0.885 0.615 0.000
Os 0.623 0.877 0.500
N 0.115 0.385 0.000
N 0.615 0.115 0.000
```

***

Record 8
A relaxed structure of HgOsN2, computed with PBE-GGA. Values from VASP.

- space group = Fd-3m (227)
- DOS(E_F) (states/eV/atom) = 0.379

Geometry as Quantum ESPRESSO input:
```
&SYSTEM
  ibrav = 0, nat = 8, ntyp = 3
/
ATOMIC_SPECIES
Hg 200.59 Hg.upf
N 14.01 N.upf
Os 190.23 Os.upf
CELL_PARAMETERS angstrom
6.003 0.000 0.000
0.000 6.003 0.000
3.001 3.001 4.244
ATOMIC_POSITIONS crystal
Hg 0.000 0.000 0.000
N 0.375 0.624 0.750
Hg 0.750 0.250 0.500
Os 0.500 0.500 0.000
Os 0.250 0.750 0.500
N 0.374 0.625 0.250
N 0.875 0.626 0.750
N 0.376 0.125 0.250
```

***

Record 9
A relaxed structure of HgOsN2, computed with PBE-GGA. Values from VASP.

- space group = R-3m (166)
- DOS(E_F) (states/eV/atom) = 0.665

Geometry as Quantum ESPRESSO input:
```
&SYSTEM
  ibrav = 0, nat = 4, ntyp = 3
/
ATOMIC_SPECIES
N 14.01 N.upf
Os 190.23 Os.upf
Hg 200.59 Hg.upf
CELL_PARAMETERS angstrom
2.019 6.595 1.171
2.245 5.273 4.011
4.572 4.931 1.930
ATOMIC_POSITIONS crystal
N 0.910 0.910 0.910
Os 0.000 0.000 0.000
N 0.090 0.090 0.090
Hg 0.500 0.500 0.500
```

***

Record 10
A relaxed structure of HgOsSN2, computed with PBE-GGA. Values from VASP.

- space group = P4/mmm (123)
- DOS(E_F) (states/eV/atom) = 0.642
- distance to the lowest polymorph of the same formula (eV/atom) = 0.000

Geometry as Quantum ESPRESSO input:
```
&SYSTEM
  ibrav = 0, nat = 5, ntyp = 4
/
ATOMIC_SPECIES
N 14.01 N.upf
S 32.06 S.upf
Hg 200.59 Hg.upf
Os 190.23 Os.upf
CELL_PARAMETERS angstrom
3.816 0.000 0.000
0.000 3.816 0.000
0.000 0.000 5.352
ATOMIC_POSITIONS crystal
N 0.500 0.000 0.000
N 0.000 0.500 0.000
S 0.000 0.000 0.500
Hg 0.500 0.500 0.500
Os 0.000 0.000 0.000
```

***

Record 11
A relaxed structure of HgOsSN2, computed with PBE-GGA. Values from VASP.

- space group = P4/mmm (123)
- DOS(E_F) (states/eV/atom) = 0.875
- distance to the lowest polymorph of the same formula (eV/atom) = 2.167

Geometry as Quantum ESPRESSO input:
```
&SYSTEM
  ibrav = 0, nat = 5, ntyp = 4
/
ATOMIC_SPECIES
N 14.01 N.upf
Os 190.23 Os.upf
Hg 200.59 Hg.upf
S 32.06 S.upf
CELL_PARAMETERS angstrom
3.975 0.000 0.000
0.000 3.975 0.000
0.000 0.000 6.184
ATOMIC_POSITIONS crystal
N 0.000 0.500 0.000
Os 0.500 0.500 0.500
N 0.500 0.000 0.000
Hg 0.000 0.000 0.000
S 0.000 0.000 0.500
```

***

Record 12
A relaxed structure of HgOsSe2N, computed with PBE-GGA. Values from VASP.

- space group = P4/mmm (123)
- DOS(E_F) (states/eV/atom) = 0.496
- distance to the lowest polymorph of the same formula (eV/atom) = 0.000

Geometry as Quantum ESPRESSO input:
```
&SYSTEM
  ibrav = 0, nat = 5, ntyp = 4
/
ATOMIC_SPECIES
Hg 200.59 Hg.upf
Os 190.23 Os.upf
N 14.01 N.upf
Se 78.96 Se.upf
CELL_PARAMETERS angstrom
-4.746 1.054 -1.822
-1.913 -4.032 2.653
-0.623 2.200 2.895
ATOMIC_POSITIONS crystal
Hg 0.500 0.500 0.500
Os 0.000 0.000 0.000
N 0.000 0.000 0.500
Se 0.500 0.000 0.000
Se 0.000 0.500 0.000
```

***

Record 13
A relaxed structure of HgOsSe2N, computed with PBE-GGA. Values from VASP.

- space group = P4/mmm (123)
- DOS(E_F) (states/eV/atom) = 1.839
- distance to the lowest polymorph of the same formula (eV/atom) = 1.869

Geometry as Quantum ESPRESSO input:
```
&SYSTEM
  ibrav = 0, nat = 5, ntyp = 4
/
ATOMIC_SPECIES
Se 78.96 Se.upf
Hg 200.59 Hg.upf
N 14.01 N.upf
Os 190.23 Os.upf
CELL_PARAMETERS angstrom
5.262 0.000 0.000
0.000 5.262 0.000
0.000 0.000 3.889
ATOMIC_POSITIONS crystal
Se 0.000 0.500 0.000
Se 0.500 0.000 0.000
Hg 0.000 0.000 0.000
N 0.000 0.000 0.500
Os 0.500 0.500 0.500
```

***

Record 14
A relaxed structure of SrHgOsN2, computed with PBE-GGA. Values from VASP.

- space group = P4/mmm (123)
- DOS(E_F) (states/eV/atom) = 1.095
- distance to the lowest polymorph of the same formula (eV/atom) = 0.099

Geometry as Quantum ESPRESSO input:
```
&SYSTEM
  ibrav = 0, nat = 5, ntyp = 4
/
ATOMIC_SPECIES
N 14.01 N.upf
Os 190.23 Os.upf
Hg 200.59 Hg.upf
Sr 87.62 Sr.upf
CELL_PARAMETERS angstrom
-0.238 -4.083 1.457
2.198 -2.019 -5.297
4.041 0.319 1.555
ATOMIC_POSITIONS crystal
N 0.000 0.000 0.500
Os 0.500 0.500 0.500
N 0.500 0.000 0.000
Hg 0.000 0.000 0.000
Sr 0.000 0.500 0.000
```

***

Record 15
A relaxed structure of SrHgOsN2, computed with PBE-GGA. Values from VASP.

- space group = P4/mmm (123)
- DOS(E_F) (states/eV/atom) = 0.904
- distance to the lowest polymorph of the same formula (eV/atom) = 0.000

Geometry as Quantum ESPRESSO input:
```
&SYSTEM
  ibrav = 0, nat = 5, ntyp = 4
/
ATOMIC_SPECIES
Sr 87.62 Sr.upf
N 14.01 N.upf
Hg 200.59 Hg.upf
Os 190.23 Os.upf
CELL_PARAMETERS angstrom
-2.541 2.540 3.027
3.863 -1.870 4.813
2.774 3.710 -0.785
ATOMIC_POSITIONS crystal
Sr 0.000 0.000 0.000
N 0.000 0.000 0.500
N 0.500 0.000 0.000
Hg 0.500 0.500 0.500
Os 0.000 0.500 0.000
```

***

Record 16
A relaxed structure of Sr2HgOsN, computed with PBE-GGA. Values from VASP.

- space group = P4/mmm (123)
- DOS(E_F) (states/eV/atom) = 0.470

Geometry as Quantum ESPRESSO input:
```
&SYSTEM
  ibrav = 0, nat = 5, ntyp = 4
/
ATOMIC_SPECIES
Sr 87.62 Sr.upf
Os 190.23 Os.upf
N 14.01 N.upf
Hg 200.59 Hg.upf
CELL_PARAMETERS angstrom
5.510 0.000 0.000
0.000 5.510 0.000
0.000 0.000 3.825
ATOMIC_POSITIONS crystal
Sr 0.000 0.500 0.000
Os 0.000 0.000 0.500
N 0.000 0.000 0.000
Sr 0.500 0.000 0.000
Hg 0.500 0.500 0.500
```

***

Record 17
A relaxed structure of HgTeOsN2, computed with PBE-GGA. Values from VASP.

- space group = P4/mmm (123)
- DOS(E_F) (states/eV/atom) = 1.201
- distance to the lowest polymorph of the same formula (eV/atom) = 1.931

Geometry as Quantum ESPRESSO input:
```
&SYSTEM
  ibrav = 0, nat = 5, ntyp = 4
/
ATOMIC_SPECIES
Os 190.23 Os.upf
Te 127.60 Te.upf
N 14.01 N.upf
Hg 200.59 Hg.upf
CELL_PARAMETERS angstrom
-2.560 -0.746 -2.984
-0.495 -3.732 1.357
-5.561 2.267 4.204
ATOMIC_POSITIONS crystal
Os 0.500 0.500 0.500
Te 0.000 0.000 0.500
N 0.000 0.500 0.000
Hg 0.000 0.000 0.000
N 0.500 0.000 0.000
```

***

Record 18
A relaxed structure of HgTeOsN2, computed with PBE-GGA. Values from VASP.

- space group = P4/mmm (123)
- DOS(E_F) (states/eV/atom) = 0.400
- distance to the lowest polymorph of the same formula (eV/atom) = 0.000

Geometry as Quantum ESPRESSO input:
```
&SYSTEM
  ibrav = 0, nat = 5, ntyp = 4
/
ATOMIC_SPECIES
N 14.01 N.upf
Hg 200.59 Hg.upf
Os 190.23 Os.upf
Te 127.60 Te.upf
CELL_PARAMETERS angstrom
-2.769 0.885 2.622
-2.665 -1.849 -2.191
1.109 -4.973 2.849
ATOMIC_POSITIONS crystal
N 0.000 0.500 0.000
Hg 0.500 0.500 0.500
Os 0.000 0.000 0.000
Te 0.000 0.000 0.500
N 0.500 0.000 0.000
```

***

Record 19
A relaxed structure of ZrHg2OsN, computed with PBE-GGA. Values from VASP.

- space group = P4/mmm (123)
- DOS(E_F) (states/eV/atom) = 0.760

Geometry as Quantum ESPRESSO input:
```
&SYSTEM
  ibrav = 0, nat = 5, ntyp = 4
/
ATOMIC_SPECIES
Hg 200.59 Hg.upf
Zr 91.22 Zr.upf
Os 190.23 Os.upf
N 14.01 N.upf
CELL_PARAMETERS angstrom
5.807 0.000 0.000
0.000 4.844 0.000
0.000 0.000 5.807
ATOMIC_POSITIONS crystal
Hg 0.500 0.000 0.000
Zr 0.000 0.000 0.000
Os 0.000 0.500 0.000
N 0.500 0.500 0.500
Hg 0.000 0.000 0.500
```

***

Record 20
A relaxed structure of HgP2N, computed with PBE-GGA. Values from VASP.

- space group = I-42d (122)
- DOS(E_F) (states/eV/atom) = 0.595
- distance to the lowest polymorph of the same formula (eV/atom) = 0.000

Geometry as Quantum ESPRESSO input:
```
&SYSTEM
  ibrav = 0, nat = 8, ntyp = 3
/
ATOMIC_SPECIES
N 14.01 N.upf
P 30.97 P.upf
Hg 200.59 Hg.upf
CELL_PARAMETERS angstrom
4.670 0.000 0.000
0.000 4.670 0.000
2.335 2.335 6.090
ATOMIC_POSITIONS crystal
N 0.500 0.500 0.000
P 0.375 0.539 0.750
P 0.461 0.125 0.250
Hg 0.750 0.250 0.500
Hg 0.000 0.000 0.000
P 0.875 0.711 0.750
N 0.250 0.750 0.500
P 0.289 0.625 0.250
```

***

no.,formation energy from raw total energies (meV per atom)
1,1887
2,1345
3,641
4,1620
5,1007
6,750
7,1492
8,521
9,1401
10,635
11,2802
12,393
13,2262
14,2580
15,2481
16,-418
17,2608
18,677
19,2244
20,731